No. 1
Hf6MnGa2 | PBE-GGA | relaxed

Unit cell a=4.5290 b=6.3641 c=7.7459 alpha=114.26 beta=107.02 gamma=90.00
Fractional coordinates of all 9 atoms:
Hf (0.5000, 0.2344, 0.0000)
Hf (0.8419, 0.6003, 0.6842)
Hf (0.8419, 0.0839, 0.6842)
Hf (0.5000, 0.7656, 0.0000)
Hf (0.1581, 0.3997, 0.3158)
Hf (0.1581, 0.9161, 0.3158)
Mn (0.0000, 0.0000, 0.0000)
Ga (0.3303, 0.3305, 0.6611)
Ga (0.6697, 0.6695, 0.3389)

Space-group type: Immm (71)

=====

No. 2
Hf2MnGa3 | PBE-GGA | relaxed

Unit cell a=3.0056 b=5.4312 c=7.5219 alpha=111.16 beta=101.52 gamma=90.00
Fractional coordinates of all 6 atoms:
Mn (0.0000, 0.5000, 0.0000)
Hf (0.3243, 0.8243, 0.6487)
Hf (0.6757, 0.1757, 0.3513)
Ga (0.6515, 0.6515, 0.3031)
Ga (0.0000, 0.0000, 0.0000)
Ga (0.3485, 0.3485, 0.6969)

Space-group type: Immm (71)

=====

No. 3
Hf2MnGa2 | PBE-GGA | relaxed

Unit cell a=5.4442 b=5.7321 c=6.9336 alpha=114.42 beta=113.12 gamma=90.00
Fractional coordinates of all 10 atoms:
Hf (0.8322, 0.5409, 0.6644)
Hf (0.6678, 0.8765, 0.3356)
Hf (0.1678, 0.4591, 0.3356)
Hf (0.3322, 0.1235, 0.6644)
Ga (0.4187, 0.7462, 0.8373)
Ga (0.5813, 0.2538, 0.1627)
Ga (0.0813, 0.9088, 0.1627)
Ga (0.9187, 0.0912, 0.8373)
Mn (0.2500, 0.5000, 0.0000)
Mn (0.7500, 0.5000, 0.0000)

Space-group type: Ibam (72)

=====

No. 4
Hf6MnGa3 | PBE-GGA | relaxed

Unit cell a=5.4592 b=7.7425 c=9.3744 alpha=90.00 beta=89.09 gamma=90.00
Fractional coordinates of all 20 atoms:
Hf (0.4070, 0.8149, 0.4404)
Hf (0.6056, 0.1682, 0.9467)
Hf (0.8944, 0.6682, 0.5533)
Hf (0.3944, 0.8318, 0.0533)
Hf (0.0930, 0.3149, 0.0596)
Hf (0.8496, 0.9509, 0.2355)
Hf (0.1504, 0.0491, 0.7645)
Hf (0.3496, 0.5491, 0.7355)
Hf (0.5930, 0.1851, 0.5596)
Hf (0.1056, 0.3318, 0.4467)
Hf (0.9070, 0.6851, 0.9404)
Hf (0.6504, 0.4509, 0.2645)
Ga (0.0000, 0.0000, 0.5000)
Ga (0.5000, 0.5000, 0.0000)
Ga (0.6218, 0.8875, 0.7471)
Ga (0.8782, 0.3875, 0.7529)
Ga (0.1218, 0.6125, 0.2471)
Ga (0.3782, 0.1125, 0.2529)
Mn (0.5000, 0.5000, 0.5000)
Mn (0.0000, 0.0000, 0.0000)

Space-group type: P2_1/c (14)

=====

No. 5
Hf4MnGa3 | PBE-GGA | relaxed

Unit cell a=3.4000 b=4.1280 c=10.3403 alpha=90.00 beta=90.00 gamma=90.00
Fractional coordinates of all 8 atoms:
Ga (0.0000, 0.5000, 0.5779)
Ga (0.0000, 0.0000, 0.4225)
Ga (0.5000, 0.0000, 0.9280)
Hf (0.5000, 0.5000, 0.3298)
Hf (0.0000, 0.0000, 0.1429)
Hf (0.5000, 0.0000, 0.6599)
Hf (0.0000, 0.5000, 0.8614)
Mn (0.5000, 0.5000, 0.0777)

Space-group type: Pmm2 (25)

=====

No. 6
HfMnGa | PBE-GGA | relaxed

Unit cell a=3.2389 b=3.2389 c=5.0236 alpha=108.81 beta=108.81 gamma=90.00
Fractional coordinates of all 3 atoms:
Mn (0.9445, 0.9445, 0.8890)
Hf (0.6058, 0.6058, 0.2117)
Ga (0.2996, 0.2996, 0.5993)

Space-group type: I4mm (107)

=====

No. 7
Hf3MnGa | PBE-GGA | relaxed

Unit cell a=4.8801 b=4.8801 c=4.8801 alpha=90.00 beta=90.00 gamma=90.00
Fractional coordinates of all 5 atoms:
Hf (0.0000, 0.5000, 0.0000)
Hf (0.5000, 0.0000, 0.0000)
Hf (0.0000, 0.0000, 0.5000)
Ga (0.5000, 0.5000, 0.5000)
Mn (0.0000, 0.0000, 0.0000)

Space-group type: Pm-3m (221)

=====

No. 8
Hf6MnGa | PBE-GGA | relaxed

Unit cell a=5.9284 b=5.9309 c=6.8136 alpha=64.29 beta=64.28 gamma=59.98
Fractional coordinates of all 8 atoms:
Hf (0.0412, 0.4276, 0.7638)
Hf (0.9588, 0.5724, 0.2362)
Hf (0.4290, 0.7671, 0.7640)
Hf (0.7682, 0.0400, 0.7633)
Hf (0.2318, 0.9600, 0.2367)
Hf (0.5710, 0.2329, 0.2360)
Mn (0.0000, 0.0000, 0.0000)
Ga (0.5000, 0.5000, 0.5000)

Space-group type: P-1 (2)

=====

No. 9
HfMnGa | PBE-GGA | relaxed

Unit cell a=3.1816 b=5.3308 c=6.1839 alpha=75.32 beta=75.09 gamma=72.64
Fractional coordinates of all 6 atoms:
Mn (0.1670, 0.2141, 0.4519)
Mn (0.8330, 0.7859, 0.5481)
Ga (0.8573, 0.1167, 0.1687)
Ga (0.1427, 0.8833, 0.8313)
Hf (0.4367, 0.3555, 0.7711)
Hf (0.5633, 0.6445, 0.2289)

Space-group type: C2/m (12)

=====

No. 10
HfMnNb2Ga | PBE-GGA | relaxed

Unit cell a=4.8075 b=4.2705 c=4.8075 alpha=90.00 beta=90.00 gamma=90.00
Fractional coordinates of all 5 atoms:
Nb (0.5000, 0.0000, 0.0000)
Nb (0.0000, 0.0000, 0.5000)
Ga (0.0000, 0.0000, 0.0000)
Hf (0.5000, 0.5000, 0.5000)
Mn (0.0000, 0.5000, 0.0000)

Space-group type: P4/mmm (123)

=====

No. 11
HfMnGaNi | PBE-GGA | relaxed

Unit cell a=4.2972 b=4.2972 c=4.2972 alpha=60.00 beta=60.00 gamma=60.00
Fractional coordinates of all 4 atoms:
Mn (0.7500, 0.7500, 0.7500)
Ni (0.2500, 0.2500, 0.2500)
Hf (0.5000, 0.5000, 0.5000)
Ga (0.0000, 0.0000, 0.0000)

Space-group type: F-43m (216)

=====

No. 12
HfMnGaPd | PBE-GGA | relaxed

Unit cell a=4.4152 b=4.4152 c=4.4152 alpha=60.00 beta=60.00 gamma=60.00
Fractional coordinates of all 4 atoms:
Hf (0.7500, 0.7500, 0.7500)
Ga (0.2500, 0.2500, 0.2500)
Pd (0.5000, 0.5000, 0.5000)
Mn (0.0000, 0.0000, 0.0000)

Space-group type: F-43m (216)

=====

Magnetization? In order: 0.0, 2.9, 1.1, 0.0, 0.0, 0.0, 0.0, 0.0, 0.0, 0.0, 0.0, 0.0 μB/f.u..
Uncorrected energy? In order: -8.297, -6.405, -7.226, -7.967, -7.632, -7.590, -8.030, -8.707, -7.649, -7.537, -7.239, -7.173 eV/atom.